1.
A plane-wave DFT calculation with PBE was carried out for an optimized crystal structure of LiRh2. Values from VASP.

Computed properties:
Crystal system = hexagonal
Magnetization = 0.00 μB per cell
DFT formation energy = 0.043 eV per atom

```
&SYSTEM
  ibrav = 0, nat = 3, ntyp = 2
/
ATOMIC_SPECIES
Rh 102.91 Rh.upf
Li 6.94 Li.upf
CELL_PARAMETERS angstrom
-2.328 -2.762 -2.440
3.547 -1.410 2.107
-1.466 -0.594 2.070
ATOMIC_POSITIONS angstrom
Rh 0.856 -2.158 1.626
Rh -1.103 -2.609 0.111
Li 0.000 0.000 0.000
```



2.
A plane-wave DFT calculation with PBE was carried out for an optimized crystal structure of Cs4Br3N2. Values from VASP.

Computed properties:
Crystal system = monoclinic
Magnetization = 2.04 μB per cell
Uncorrected formation energy = -10.81 eV per formula unit

```
&SYSTEM
  ibrav = 0, nat = 18, ntyp = 3
/
ATOMIC_SPECIES
Cs 132.91 Cs.upf
Br 79.90 Br.upf
N 14.01 N.upf
CELL_PARAMETERS angstrom
-1.795 7.229 -6.348
-3.803 -6.223 -6.012
-5.608 3.554 7.297
ATOMIC_POSITIONS angstrom
Cs -3.713 -4.560 -4.433
Cs -5.247 5.422 -1.662
Cs -5.958 -0.862 -3.401
Cs -7.492 9.120 -0.630
Cs -8.679 2.095 -0.751
Cs -2.526 2.465 -4.312
Cs -6.532 3.282 -6.064
Cs -4.673 1.278 1.001
Br -3.985 5.866 -5.077
Br -2.253 -1.145 -4.440
Br -3.344 2.151 -7.921
Br -7.220 -1.306 0.014
Br -2.307 3.529 -0.668
Br -8.898 1.031 -4.395
N -5.429 2.406 -3.081
N -4.931 8.621 -2.401
N -6.274 -4.061 -2.662
N -5.776 2.155 -1.982
```



3.
A plane-wave DFT calculation with PBE was carried out for an optimized crystal structure of Tb3Pr6Tl. Values from VASP.

Computed properties:
Crystal system = monoclinic
Magnetization = 0.00 μB per cell
DFT formation energy = 0.018 eV per atom
Polymorph energy (0 for the lowest one) = 0.000 eV per atom

```
&SYSTEM
  ibrav = 0, nat = 20, ntyp = 3
/
ATOMIC_SPECIES
Pr 140.91 Pr.upf
Tb 158.93 Tb.upf
Tl 204.38 Tl.upf
CELL_PARAMETERS angstrom
3.662 0.000 0.000
0.000 12.443 -1.535
0.000 0.767 15.030
ATOMIC_POSITIONS angstrom
Pr 2.746 8.045 5.887
Pr 2.746 1.398 -0.155
Pr 0.915 8.902 2.693
Pr 2.746 5.514 0.960
Pr 0.915 7.695 12.536
Pr 0.915 5.165 7.608
Pr 0.915 2.679 2.504
Pr 2.746 10.531 10.992
Pr 0.915 10.566 7.886
Pr 0.915 11.811 13.651
Pr 2.746 2.643 5.609
Pr 2.746 4.308 10.802
Tb 2.746 11.515 4.919
Tb 0.915 1.267 11.971
Tb 0.915 1.695 8.576
Tb 0.915 5.554 4.121
Tb 2.746 11.943 1.524
Tb 2.746 7.656 9.374
Tl 2.746 8.626 -0.166
Tl 0.915 4.583 13.661
```



4.
A plane-wave DFT calculation with PBE was carried out for an optimized crystal structure of PuZr2Sc3. Values from VASP.

Computed properties:
Crystal system = orthorhombic
Magnetization = 11.99 μB per cell
DFT formation energy = 0.193 eV per atom
Polymorph energy (0 for the lowest one) = 0.142 eV per atom

```
&SYSTEM
  ibrav = 0, nat = 12, ntyp = 3
/
ATOMIC_SPECIES
Zr 91.22 Zr.upf
Sc 44.96 Sc.upf
Pu 244.00 Pu.upf
CELL_PARAMETERS angstrom
5.858 0.000 0.000
0.000 7.233 -4.624
0.000 -2.204 8.297
ATOMIC_POSITIONS angstrom
Zr 2.929 1.276 0.932
Zr 2.929 3.754 2.741
Zr 5.858 1.276 0.932
Zr 0.000 3.754 2.741
Sc 1.465 5.461 0.458
Sc 1.465 2.931 -1.389
Sc 4.394 -0.431 3.215
Sc 4.394 -0.813 6.392
Sc 1.465 5.842 -2.719
Sc 4.394 2.098 5.062
Pu 1.465 1.125 3.739
Pu 4.394 3.904 -0.066
```